First-principles (GGA-PBE) data for a relaxed TbThInOs crystal, as listed in the Alexandria database.

The space group is F-43m (No. 216) and the conventional cell measures 7.093, 7.093 and 7.093 Å, with angles of 90.00, 90.00 and 90.00 degrees. The inequivalent atoms are Tb at (0.000, 0.000, 0.000), Th at (0.250, 0.250, 0.750), In at (0.250, 0.250, 0.250) and Os at (0.000, 0.000, 0.500).

The total magnetization is 0.000 μB per formula unit. The value obtained for the energy of formation from the pure elements is -0.128 eV per atom. The uncorrected energy is -6.63 eV/atom.